Entry 1:
Compound: LaNbPt2
Source: Alexandria via LeMat-Bulk
Functional: GGA-PBEsol
Structure: relaxed

Unit cell a=6.8062 b=6.8062 c=6.8062 alpha=90.00 beta=90.00 gamma=90.00
Last column: nearest neighbours and their distance in Å.
Space group Fm-3m (No. 225)
Inequivalent atoms, fractional coordinates:
La: 0.0000 0.0000 0.0000  8 Pt 2.95
Nb: 0.0000 0.0000 0.5000  8 Pt 2.95
Pt: 0.2500 0.2500 0.2500  4 Nb 2.95, 4 La 2.95

Calculated values
VASP energy in Ry per atom: -0.577
E_form in meV/atom: -325

Entry 2:
Compound: La2NbPt
Source: Alexandria via LeMat-Bulk
Functional: GGA-PBEsol
Structure: relaxed

Unit cell a=7.2330 b=7.2330 c=7.2330 alpha=90.00 beta=90.00 gamma=90.00
Last column: nearest neighbours and their distance in Å.
Space group Fm-3m (No. 225)
Inequivalent atoms, fractional coordinates:
La: 0.2500 0.2500 0.2500  4 Nb 3.13, 4 Pt 3.13
Nb: 0.0000 0.0000 0.0000  8 La 3.13
Pt: 0.0000 0.0000 0.5000  8 La 3.13

Calculated values
VASP energy in Ry per atom: -0.523
E_form in meV/atom: 2

Entry 3:
Compound: RbLaNbS2
Source: Alexandria via LeMat-Bulk
Functional: GGA-PBEsol
Structure: relaxed

Unit cell a=5.5516 b=5.5516 c=5.5863 alpha=90.00 beta=90.00 gamma=90.00
Last column: nearest neighbours and their distance in Å.
Space group P4/mmm (No. 123)
Inequivalent atoms, fractional coordinates:
Rb: 0.0000 0.0000 0.0000  4 Nb 3.93, 8 S 3.94
La: 0.5000 0.5000 0.5000  4 S 2.78, 2 Nb 2.79
Nb: 0.5000 0.5000 0.0000  2 La 2.79
S: 0.0000 0.5000 0.5000  2 La 2.78

Calculated values
VASP energy in Ry per atom: -0.363
Raw formation energy in eV per atom: 0.25

Entry 4:
Compound: LaNb2Rh2
Source: Alexandria via LeMat-Bulk
Functional: GGA-PBEsol
Structure: relaxed

Unit cell a=4.6529 b=4.6529 c=9.5696 alpha=90.00 beta=90.00 gamma=90.00
Last column: nearest neighbours and their distance in Å.
Space group I4/mmm (No. 139)
Inequivalent atoms, fractional coordinates:
La: 0.0000 0.0000 0.0000  8 Rh 3.34, 10 Nb 3.45-3.55
Nb: 0.0000 0.0000 0.3610  4 Rh 2.56, 1 Nb 2.66
Rh: 0.0000 0.5000 0.2500  4 Nb 2.56

Calculated values
VASP energy in Ry per atom: -0.640
E_form in meV/atom: -56

Entry 5:
Compound: La3NbRh
Source: Alexandria via LeMat-Bulk
Functional: GGA-PBEsol
Structure: relaxed

Unit cell a=5.3479 b=5.3479 c=5.3479 alpha=90.00 beta=90.00 gamma=90.00
Last column: nearest neighbours and their distance in Å.
Space group Pm-3m (No. 221)
Inequivalent atoms, fractional coordinates:
La: 0.0000 0.0000 0.5000  2 Nb 2.67
Nb: 0.0000 0.0000 0.0000  6 La 2.67
Rh: 0.5000 0.5000 0.5000  12 La 3.78

Calculated values
VASP energy in Ry per atom: -0.462
E_form in meV/atom: 709

Entry 6:
Compound: LaNbRu3
Source: Alexandria via LeMat-Bulk
Functional: GGA-PBEsol
Structure: relaxed

Unit cell a=4.7119 b=4.7119 c=4.7119 alpha=90.00 beta=90.00 gamma=90.00
Last column: nearest neighbours and their distance in Å.
Space group Pm-3m (No. 221)
Inequivalent atoms, fractional coordinates:
La: 0.0000 0.0000 0.0000  12 Ru 3.33
Nb: 0.5000 0.5000 0.5000  6 Ru 2.36
Ru: 0.0000 0.5000 0.5000  2 Nb 2.36

Calculated values
VASP energy in Ry per atom: -0.632
E_form in meV/atom: 742

Entry 7:
Compound: LaNbRu
Source: Alexandria via LeMat-Bulk
Functional: GGA-PBEsol
Structure: relaxed

Unit cell a=4.5315 b=4.5315 c=6.5376 alpha=90.00 beta=90.00 gamma=90.00
Last column: nearest neighbours and their distance in Å.
Space group P4/nmm (No. 129, origin choice 2)
Inequivalent atoms, fractional coordinates:
La: 0.2500 0.2500 0.1345  1 Ru 2.92
Nb: 0.2500 0.7500 0.5000  4 Ru 2.58
Ru: 0.2500 0.2500 0.6874  4 Nb 2.58

Calculated values
VASP energy in Ry per atom: -0.653
E_form in meV/atom: -108

Entry 8:
Compound: LaNbS3
Source: Alexandria via LeMat-Bulk
Functional: GGA-PBEsol
Structure: relaxed

Unit cell a=5.2984 b=5.2984 c=5.2984 alpha=90.00 beta=90.00 gamma=90.00
Last column: nearest neighbours and their distance in Å.
Space group Pm-3m (No. 221)
Inequivalent atoms, fractional coordinates:
La: 0.0000 0.0000 0.0000  6 S 2.65
Nb: 0.5000 0.5000 0.5000  12 S 3.75
S: 0.0000 0.0000 0.5000  2 La 2.65

Calculated values
VASP energy in Ry per atom: -0.407
Raw formation energy in eV per atom: 0.33

Entry 9:
Compound: La3NbSb5
Source: Alexandria via LeMat-Bulk
Functional: GGA-PBEsol
Structure: relaxed

Unit cell a=9.4495 b=9.4495 c=6.1930 alpha=90.00 beta=90.00 gamma=120.00
Last column: nearest neighbours and their distance in Å.
Space group P6_3/mcm (No. 193)
Inequivalent atoms, fractional coordinates:
La: 0.0000 0.3821 0.2500  9 Sb 3.19-3.40
Nb: 0.0000 0.0000 0.0000  6 Sb 2.89, 2 Nb 3.10
Sb: 0.0000 0.2578 0.7500  2 Nb 2.89, 2 La 3.19
Sb: 0.3333 0.6667 0.0000  2 Sb 3.10, 6 La 3.33

Calculated values
VASP energy in Ry per atom: -0.476
Raw formation energy in eV per atom: -0.96

Entry 10:
Compound: LaNbSb3
Source: Alexandria via LeMat-Bulk
Functional: GGA-PBEsol
Structure: relaxed

Unit cell a=5.7692 b=5.7692 c=5.7692 alpha=90.00 beta=90.00 gamma=90.00
Last column: nearest neighbours and their distance in Å.
Space group Pm-3m (No. 221)
Inequivalent atoms, fractional coordinates:
La: 0.0000 0.0000 0.0000  6 Sb 2.88
Nb: 0.5000 0.5000 0.5000  12 Sb 4.08
Sb: 0.0000 0.0000 0.5000  2 La 2.88

Calculated values
VASP energy in Ry per atom: -0.339
Raw formation energy in eV per atom: 1.35

Entry 11:
Compound: LaScNb3
Source: Alexandria via LeMat-Bulk
Functional: GGA-PBEsol
Structure: relaxed

Unit cell a=4.8791 b=4.8791 c=4.8791 alpha=90.00 beta=90.00 gamma=90.00
Last column: nearest neighbours and their distance in Å.
Space group Pm-3m (No. 221)
Inequivalent atoms, fractional coordinates:
La: 0.0000 0.0000 0.0000  6 Nb 2.44
Sc: 0.5000 0.5000 0.5000  12 Nb 3.45
Nb: 0.0000 0.0000 0.5000  2 La 2.44

Calculated values
VASP energy in Ry per atom: -0.543
E_form in meV/atom: 1494

Entry 12:
Compound: LaNbSe2
Source: Alexandria via LeMat-Bulk
Functional: GGA-PBEsol
Structure: relaxed

Unit cell a=3.4359 b=3.4359 c=28.2450 alpha=90.00 beta=90.00 gamma=120.00
Last column: nearest neighbours and their distance in Å.
Space group R-3m (No. 166, hexagonal axes)
Inequivalent atoms, fractional coordinates:
La: 0.0000 0.0000 0.0000  2 Se 3.00
Nb: 0.0000 0.0000 0.5000  6 Se 2.62
Se: 0.0000 0.0000 0.1062  3 Nb 2.62

Calculated values
VASP energy in Ry per atom: -0.490
Raw formation energy in eV per atom: -0.69

Q: The lowest VASP energy belongs to which entry?
A: LaNbRu